DFT (PBE) results for crystalline Sr2InAsPd6 at its relaxed geometry.

a = 5.697 Å, b = 8.624 Å, c = 8.971 Å
α = 90.00°, β = 90.00°, γ = 90.00°
Positions (direct):
Sr1 0.500 0.726 0.256
Sr2 0.000 0.274 0.756
Sr3 0.500 0.726 0.744
Sr4 0.000 0.274 0.244
In1 0.000 0.725 0.500
In2 0.500 0.275 0.000
As1 0.500 0.234 0.500
As2 0.000 0.766 0.000
Pd1 0.500 0.095 0.252
Pd2 0.500 0.095 0.748
Pd3 0.000 0.905 0.248
Pd4 0.000 0.905 0.752
Pd5 0.243 0.999 0.500
Pd6 0.757 0.999 0.500
Pd7 0.248 0.464 0.500
Pd8 0.752 0.464 0.500
Pd9 0.748 0.536 0.000
Pd10 0.252 0.536 0.000
Pd11 0.257 0.001 0.000
Pd12 0.743 0.001 0.000

Properties
**Energy of formation**: -0.5994 eV/atom
**Raw total energy**: -4.790 eV per atom